1.
# NaZrSc

An optimized crystal structure of NaZrSc (PBE, Alexandria via LeMat-Bulk).

abc: 8.0268 8.0268 8.0268
angles: 156.97 156.97 32.79
Fractional coordinates of all 3 atoms:
Na 0.0000 0.0000 0.0000
Zr 0.6803 0.6803 0.0000
Sc 0.3145 0.3145 0.0000

The distance to the lowest polymorph of the same formula is 121 meV/atom. The calculation puts the total moment at 0.00 μB/cell. For the energy relative to the elements, the calculation gives 0.2049 eV per atom. As for the space group: I4mm.



2.
# NaZrSc

An optimized crystal structure of NaZrSc (PBE, Alexandria via LeMat-Bulk).

abc: 3.2182 5.5747 9.5834
angles: 79.64 80.53 73.35
Fractional coordinates of all 6 atoms:
Na 0.1703 0.2509 0.4109
Na 0.8297 0.7491 0.5891
Zr 0.1579 0.7454 0.9385
Zr 0.8421 0.2546 0.0615
Sc 0.4822 0.2423 0.7891
Sc 0.5178 0.7577 0.2109

The distance to the lowest polymorph of the same formula is 105 meV/atom. The calculation puts the total moment at 0.00 μB/cell. For the energy relative to the elements, the calculation gives 0.1890 eV per atom. As for the space group: P-1.



3.
# NaZrSc

An optimized crystal structure of NaZrSc (PBE, Alexandria via LeMat-Bulk).

abc: 5.0742 5.0742 6.8246
angles: 90.00 90.00 120.00
Fractional coordinates of all 6 atoms:
Na 0.0000 0.0000 0.0000
Na 0.3333 0.6667 0.0063
Zr 0.3333 0.6667 0.4998
Zr 0.6667 0.3333 0.2929
Sc 0.0000 0.0000 0.4961
Sc 0.6667 0.3333 0.7115

The distance to the lowest polymorph of the same formula is 220 meV/atom. The calculation puts the total moment at 0.26 μB/cell. For the energy relative to the elements, the calculation gives 0.3036 eV per atom. As for the space group: P3m1.



4.
# NaZrSc

An optimized crystal structure of NaZrSc (PBE, Alexandria via LeMat-Bulk).

abc: 5.5363 5.5363 2.8669
angles: 90.00 90.00 120.00
Fractional coordinates of all 3 atoms:
Na 0.0000 0.0000 0.0000
Zr 0.6667 0.3333 0.5000
Sc 0.3333 0.6667 0.5000

The distance to the lowest polymorph of the same formula is 515 meV/atom. The calculation puts the total moment at 0.09 μB/cell. For the energy relative to the elements, the calculation gives 0.5982 eV per atom. As for the space group: P-6m2.



5.
# NaZrSc

An optimized crystal structure of NaZrSc (PBE, Alexandria via LeMat-Bulk).

abc: 5.3363 5.8262 10.0556
angles: 90.00 90.00 90.00
Fractional coordinates of all 12 atoms:
Na 0.1811 0.2500 0.1642
Na 0.3189 0.7500 0.6642
Na 0.6811 0.2500 0.3358
Na 0.8189 0.7500 0.8358
Zr 0.1536 0.2500 0.8087
Zr 0.3464 0.7500 0.3087
Zr 0.6536 0.2500 0.6913
Zr 0.8464 0.7500 0.1913
Sc 0.1695 0.2500 0.5065
Sc 0.3305 0.7500 0.0065
Sc 0.6695 0.2500 0.9935
Sc 0.8305 0.7500 0.4935

The distance to the lowest polymorph of the same formula is 391 meV/atom. The calculation puts the total moment at 0.00 μB/cell. For the energy relative to the elements, the calculation gives 0.4746 eV per atom. As for the space group: Pnma.



6.
# NaZrSc

An optimized crystal structure of NaZrSc (PBE, Alexandria via LeMat-Bulk).

abc: 4.6390 4.6390 10.3876
angles: 90.00 90.00 120.00
Fractional coordinates of all 6 atoms:
Na 0.3333 0.6667 0.2500
Na 0.6667 0.3333 0.7500
Zr 0.0000 0.0000 0.0000
Zr 0.0000 0.0000 0.5000
Sc 0.0000 0.0000 0.2500
Sc 0.0000 0.0000 0.7500

The distance to the lowest polymorph of the same formula is 1641 meV/atom. The calculation puts the total moment at 0.00 μB/cell. For the energy relative to the elements, the calculation gives 1.7242 eV per atom. As for the space group: P6_3/mmc.



7.
# NaZrSc

An optimized crystal structure of NaZrSc (PBE, Alexandria via LeMat-Bulk).

abc: 3.2109 5.1490 9.8988
angles: 90.00 95.05 90.00
Fractional coordinates of all 6 atoms:
Na 0.1820 0.2500 0.4089
Na 0.8180 0.7500 0.5911
Zr 0.0115 0.2500 0.0626
Zr 0.9885 0.7500 0.9374
Sc 0.4379 0.2500 0.7965
Sc 0.5621 0.7500 0.2035

The distance to the lowest polymorph of the same formula is 97 meV/atom. The calculation puts the total moment at 0.00 μB/cell. For the energy relative to the elements, the calculation gives 0.1802 eV per atom. As for the space group: P2_1/m.



8.
# Na2ZrSc

An optimized crystal structure of Na2ZrSc (PBE, Alexandria via LeMat-Bulk).

abc: 6.7041 6.7041 6.7041
angles: 100.38 100.38 129.76
Fractional coordinates of all 8 atoms:
Na 0.1195 0.6250 0.9945
Na 0.3750 0.3695 0.4945
Na 0.6305 0.1250 0.0055
Na 0.8750 0.8805 0.5055
Zr 0.2500 0.7500 0.5000
Zr 0.5000 0.5000 0.0000
Sc 0.0000 0.0000 0.0000
Sc 0.7500 0.2500 0.5000

The distance to the lowest polymorph of the same formula is 60 meV/atom. The calculation puts the total moment at 0.00 μB/cell. For the energy relative to the elements, the calculation gives 0.8464 eV per atom. As for the space group: I-42d.



9.
# NaZrSc

An optimized crystal structure of NaZrSc (PBE, Alexandria via LeMat-Bulk).

abc: 3.2443 3.2453 15.3209
angles: 90.00 90.05 90.00
Fractional coordinates of all 6 atoms:
Na 0.2475 0.2500 0.1017
Na 0.7525 0.7500 0.8983
Zr 0.2489 0.2500 0.4250
Zr 0.7511 0.7500 0.5750
Sc 0.2520 0.2500 0.7142
Sc 0.7480 0.7500 0.2858

The distance to the lowest polymorph of the same formula is 0 meV/atom. The calculation puts the total moment at 0.00 μB/cell. For the energy relative to the elements, the calculation gives 0.0836 eV per atom. As for the space group: P2_1/m.



10.
# NaZrSc

An optimized crystal structure of NaZrSc (PBE, Alexandria via LeMat-Bulk).

abc: 3.2883 3.2892 17.1328
angles: 90.31 94.92 119.98
Fractional coordinates of all 6 atoms:
Na 0.2462 0.3607 0.0965
Na 0.7538 0.6393 0.9035
Zr 0.2108 0.8580 0.5766
Zr 0.7892 0.1420 0.4234
Sc 0.0331 0.7596 0.2790
Sc 0.9669 0.2404 0.7210

The distance to the lowest polymorph of the same formula is 17 meV/atom. The calculation puts the total moment at 0.00 μB/cell. For the energy relative to the elements, the calculation gives 0.1009 eV per atom. As for the space group: P-1.



11.
# NaZrSc3

An optimized crystal structure of NaZrSc3 (PBE, Alexandria via LeMat-Bulk).

abc: 5.3506 5.3506 5.3506
angles: 90.00 90.00 90.00
Fractional coordinates of all 5 atoms:
Na 0.0000 0.0000 0.0000
Zr 0.5000 0.5000 0.5000
Sc 0.0000 0.5000 0.5000
Sc 0.5000 0.0000 0.5000
Sc 0.5000 0.5000 0.0000

The distance to the lowest polymorph of the same formula is 0 meV/atom. The calculation puts the total moment at 0.00 μB/cell. For the energy relative to the elements, the calculation gives 0.6971 eV per atom. As for the space group: Pm-3m.



12.
# NaZr2Sc

An optimized crystal structure of NaZr2Sc (PBE, Alexandria via LeMat-Bulk).

abc: 11.7215 11.7215 11.7215
angles: 159.51 159.51 29.13
Fractional coordinates of all 8 atoms:
Na 0.0000 0.0000 0.0000
Na 0.7500 0.2500 0.5000
Zr 0.1253 0.6250 0.0003
Zr 0.3750 0.3753 0.5003
Zr 0.6247 0.1250 0.9997
Zr 0.8750 0.8747 0.4997
Sc 0.2500 0.7500 0.5000
Sc 0.5000 0.5000 0.0000

The distance to the lowest polymorph of the same formula is 137 meV/atom. The calculation puts the total moment at 0.00 μB/cell. For the energy relative to the elements, the calculation gives 0.7155 eV per atom. As for the space group: I-42d.



13.
# Na3ZrSc

An optimized crystal structure of Na3ZrSc (PBE, Alexandria via LeMat-Bulk).

abc: 5.4592 5.4592 5.4592
angles: 90.00 90.00 90.00
Fractional coordinates of all 5 atoms:
Na 0.0000 0.0000 0.5000
Na 0.0000 0.5000 0.0000
Na 0.5000 0.0000 0.0000
Zr 0.5000 0.5000 0.5000
Sc 0.0000 0.0000 0.0000

The distance to the lowest polymorph of the same formula is 0 meV/atom. The calculation puts the total moment at 2.03 μB/cell. For the energy relative to the elements, the calculation gives 1.4353 eV per atom. As for the space group: Pm-3m.



14.
# NaZrSc

An optimized crystal structure of NaZrSc (PBE, Alexandria via LeMat-Bulk).

abc: 17.0923 17.0923 17.0923
angles: 11.07 11.07 11.07
Fractional coordinates of all 6 atoms:
Na 0.1990 0.1990 0.1990
Na 0.8010 0.8010 0.8010
Zr 0.3080 0.3080 0.3080
Zr 0.6921 0.6921 0.6921
Sc 0.4069 0.4069 0.4069
Sc 0.5931 0.5931 0.5931

The distance to the lowest polymorph of the same formula is 16 meV/atom. The calculation puts the total moment at 0.00 μB/cell. For the energy relative to the elements, the calculation gives 0.0996 eV per atom. As for the space group: R-3m.



15.
# NaZrSc

An optimized crystal structure of NaZrSc (PBE, Alexandria via LeMat-Bulk).

abc: 5.5003 5.5003 5.8999
angles: 90.00 90.00 120.00
Fractional coordinates of all 6 atoms:
Na 0.0000 0.0000 0.0000
Na 0.0000 0.0000 0.5000
Zr 0.3333 0.6667 0.2500
Zr 0.6667 0.3333 0.7500
Sc 0.3333 0.6667 0.7500
Sc 0.6667 0.3333 0.2500

The distance to the lowest polymorph of the same formula is 552 meV/atom. The calculation puts the total moment at 3.93 μB/cell. For the energy relative to the elements, the calculation gives 0.6356 eV per atom. As for the space group: P6_3/mmc.



16.
# Na2ZrSc

An optimized crystal structure of Na2ZrSc (PBE, Alexandria via LeMat-Bulk).

abc: 5.2819 5.2819 5.2819
angles: 60.00 60.00 60.00
Fractional coordinates of all 4 atoms:
Na 0.2500 0.2500 0.2500
Na 0.7500 0.7500 0.7500
Zr 0.0000 0.0000 0.0000
Sc 0.5000 0.5000 0.5000

The distance to the lowest polymorph of the same formula is 0 meV/atom. The calculation puts the total moment at 1.47 μB/cell. For the energy relative to the elements, the calculation gives 0.7867 eV per atom. As for the space group: Fm-3m.



17.
# NaZr2Sc

An optimized crystal structure of NaZr2Sc (PBE, Alexandria via LeMat-Bulk).

abc: 5.1218 5.1218 5.1218
angles: 60.00 60.00 60.00
Fractional coordinates of all 4 atoms:
Na 0.0000 0.0000 0.0000
Zr 0.2500 0.2500 0.2500
Zr 0.7500 0.7500 0.7500
Sc 0.5000 0.5000 0.5000

The distance to the lowest polymorph of the same formula is 0 meV/atom. The calculation puts the total moment at 0.00 μB/cell. For the energy relative to the elements, the calculation gives 0.5789 eV per atom. As for the space group: Fm-3m.



18.
# NaZrSc

An optimized crystal structure of NaZrSc (PBE, Alexandria via LeMat-Bulk).

abc: 5.6531 3.2021 8.8747
angles: 90.00 101.67 90.00
Fractional coordinates of all 6 atoms:
Na 0.2474 0.2500 0.4987
Na 0.7526 0.7500 0.5013
Zr 0.0405 0.2500 0.8623
Zr 0.9595 0.7500 0.1377
Sc 0.4588 0.2500 0.1420
Sc 0.5412 0.7500 0.8580

The distance to the lowest polymorph of the same formula is 118 meV/atom. The calculation puts the total moment at 0.00 μB/cell. For the energy relative to the elements, the calculation gives 0.2014 eV per atom. As for the space group: P2_1/m.



19.
# NaZrSc

An optimized crystal structure of NaZrSc (PBE, Alexandria via LeMat-Bulk).

abc: 3.2713 3.2713 17.2025
angles: 95.45 95.45 59.90
Fractional coordinates of all 6 atoms:
Na 0.0000 0.0000 0.0000
Na 0.7360 0.7360 0.1932
Zr 0.1250 0.1250 0.3694
Zr 0.8406 0.8406 0.5126
Sc 0.2247 0.2247 0.6684
Sc 0.6076 0.6076 0.8195

The distance to the lowest polymorph of the same formula is 68 meV/atom. The calculation puts the total moment at 0.22 μB/cell. For the energy relative to the elements, the calculation gives 0.1512 eV per atom. As for the space group: Cm.



20.
# NaZrSc

An optimized crystal structure of NaZrSc (PBE, Alexandria via LeMat-Bulk).

abc: 3.7343 3.7343 12.2341
angles: 90.00 90.00 90.00
Fractional coordinates of all 6 atoms:
Na 0.2500 0.2500 0.1067
Na 0.7500 0.7500 0.8933
Zr 0.2500 0.2500 0.4447
Zr 0.7500 0.7500 0.5553
Sc 0.2500 0.2500 0.6954
Sc 0.7500 0.7500 0.3046

The distance to the lowest polymorph of the same formula is 60 meV/atom. The calculation puts the total moment at 0.00 μB/cell. For the energy relative to the elements, the calculation gives 0.1437 eV per atom. As for the space group: P4/nmm.